# 1
# NdSm3Al8

A relaxed NdSm3Al8 crystal (PBE-GGA, Alexandria via LeMat-Bulk).

For the energy of formation from the pure elements, the calculation gives -0.50 eV per atom. The value obtained for the distance to the lowest polymorph of the same formula is 0.010 eV/atom. The raw total energy is -54.838 eV per cell. As for the density of states at the Fermi level: 5.914 states/eV/f.u.

It has space group P3m1 (No. 156), with a = 5.6395 Å, b = 5.6395 Å, c = 9.2939 Å, α = 90.00°, β = 90.00° and γ = 120.00°. The inequivalent atoms are Nd at (0.0000, 0.0000, 0.0000), Sm at (0.0000, 0.0000, 0.3638), Sm at (0.6667, 0.3333, 0.4998), Sm at (0.6667, 0.3333, 0.8634), Al at (0.1623, 0.3245, 0.6809), Al at (0.3333, 0.6667, 0.4325), Al at (0.3333, 0.6667, 0.9314) and Al at (0.5045, 0.0089, 0.1832).

---

# 2
# Rb2RuNCl6

A relaxed Rb2RuNCl6 crystal (PBE-GGA, Alexandria via LeMat-Bulk).

The formation energy (no corrections) is -459 meV/atom. The raw total energy is -70.420 eV per cell. As for the density of states at the Fermi level: 15.089 states/eV/f.u.

It has space group I4/mmm (No. 139), with a = 7.7173 Å, b = 7.7173 Å, c = 9.0939 Å, α = 90.00°, β = 90.00° and γ = 90.00°. The inequivalent atoms are Rb at (0.0000, 0.5000, 0.2500), Ru at (0.0000, 0.0000, 0.0000), N at (0.0000, 0.0000, 0.5000), Cl at (0.0000, 0.0000, 0.2730) and Cl at (0.2171, 0.2171, 0.0000).

---

# 3
# SrMnTe3

A relaxed SrMnTe3 crystal (PBE-GGA, Alexandria via LeMat-Bulk).

The value obtained for the distance to the lowest polymorph of the same formula is 0.770 eV/atom. The formation energy (no corrections) is 541 meV/atom. The raw total energy is -17.572 eV per cell. As for the density of states at the Fermi level: 5.714 states/eV/f.u.

It has space group Pm-3m (No. 221), with a = 6.1437 Å, b = 6.1437 Å, c = 6.1437 Å, α = 90.00°, β = 90.00° and γ = 90.00°. The inequivalent atoms are Sr at (0.0000, 0.0000, 0.0000), Mn at (0.5000, 0.5000, 0.5000) and Te at (0.0000, 0.0000, 0.5000).

---

# 4
# RbZnAs2Pb

A relaxed RbZnAs2Pb crystal (PBE-GGA, Alexandria via LeMat-Bulk).

For the energy of formation from the pure elements, the calculation gives -0.20 eV per atom. The raw total energy is -64.934 eV per cell. As for the density of states at the Fermi level: 2.834 states/eV/f.u.

It has space group C2/m (No. 12), with a = 16.9932 Å, b = 4.2608 Å, c = 10.9528 Å, α = 90.00°, β = 125.60° and γ = 90.00°. The inequivalent atoms are Rb at (0.1860, 0.0000, 0.1179), Zn at (0.0392, 0.0000, 0.6549), As at (0.0781, 0.5000, 0.8024), As at (0.1533, 0.0000, 0.5745) and Pb at (0.1260, 0.5000, 0.3829).

---

Please write out number 4 again, unchanged.
# RbZnAs2Pb

A relaxed RbZnAs2Pb crystal (PBE-GGA, Alexandria via LeMat-Bulk).

For the energy of formation from the pure elements, the calculation gives -0.20 eV per atom. The raw total energy is -64.934 eV per cell. As for the density of states at the Fermi level: 2.834 states/eV/f.u.

It has space group C2/m (No. 12), with a = 16.9932 Å, b = 4.2608 Å, c = 10.9528 Å, α = 90.00°, β = 125.60° and γ = 90.00°. The inequivalent atoms are Rb at (0.1860, 0.0000, 0.1179), Zn at (0.0392, 0.0000, 0.6549), As at (0.0781, 0.5000, 0.8024), As at (0.1533, 0.0000, 0.5745) and Pb at (0.1260, 0.5000, 0.3829).

---

Q: raw total energy of number 3 (SrMnTe3)?
A: -17.572 eV per cell